{
  "formula": "TaZnIr2",
  "functional": "PBE",
  "state": "optimized geometry",
  "lattice": [[-5.5209, -6.5083, 3.5560], [-3.7033, -6.2886, 5.6765], [-5.8802, -4.5330, 5.5099]],
  "species": ["Ir", "Ir", "Ta", "Zn"],
  "fractional_positions": [[0.0014, 0.0014, 0.0014], [0.2510, 0.2510, 0.2510], [0.5015, 0.5015, 0.5015], [0.7461, 0.7461, 0.7461]],
  "space_group": "R3m",
  "final_energy_ev_per_cell": -31.1
}


{
  "formula": "Ge2BMoAu",
  "functional": "PBE",
  "state": "optimized geometry",
  "lattice": [[-1.1603, -4.5886, -0.8974], [1.6039, 0.4779, -4.5173], [4.9043, -1.5487, 1.5775]],
  "species": ["Ge", "Ge", "B", "Au", "Mo"],
  "fractional_positions": [[0.0000, 0.5000, 0.0000], [0.5000, 0.0000, 0.0000], [0.5000, 0.5000, 0.5000], [0.0000, 0.0000, 0.0000], [0.0000, 0.0000, 0.5000]],
  "space_group": "P4/mmm",
  "final_energy_ev_per_cell": -20.0
}


{
  "formula": "CoAuBr2",
  "functional": "PBE",
  "state": "optimized geometry",
  "lattice": [[0.2504, -3.6126, 11.4175], [2.7158, -5.1659, 10.4600], [2.9991, -2.2523, 11.3757]],
  "species": ["Co", "Au", "Br", "Br"],
  "fractional_positions": [[0.0000, 0.0000, 0.0000], [0.5000, 0.5000, 0.5000], [0.0634, 0.0634, 0.0634], [0.9366, 0.9366, 0.9366]],
  "space_group": "R-3m",
  "e_above_lowest_polymorph_ev_per_atom": 0.453
}


Please write out number 1 again, unchanged.
{
  "formula": "TaZnIr2",
  "functional": "PBE",
  "state": "optimized geometry",
  "lattice": [[-5.5209, -6.5083, 3.5560], [-3.7033, -6.2886, 5.6765], [-5.8802, -4.5330, 5.5099]],
  "species": ["Ir", "Ir", "Ta", "Zn"],
  "fractional_positions": [[0.0014, 0.0014, 0.0014], [0.2510, 0.2510, 0.2510], [0.5015, 0.5015, 0.5015], [0.7461, 0.7461, 0.7461]],
  "space_group": "R3m",
  "final_energy_ev_per_cell": -31.1
}